[1]
NaMnBi2: optimized geometry, PBE-GGA.

a b c (Å): 4.981 4.981 4.981
angles (deg): 60.00 60.00 60.00
Fractional coordinates of all 4 atoms:
Na  0.000  0.000  0.000
Mn  0.500  0.500  0.500
Bi  0.250  0.250  0.250
Bi  0.750  0.750  0.750

## Properties
As for the symmetry: Fm-3m (225). The energy above the lowest structure with this stoichiometry is 0.4590 eV per atom. The value obtained for the formation energy is 0.484 eV per atom.



[2]
Sm2AgSn2: optimized geometry, PBE-GGA.

a b c (Å): 6.207 6.207 11.066
angles (deg): 114.63 114.63 44.33
Fractional coordinates of all 10 atoms:
Sm  0.009  0.009  0.330
Sm  0.181  0.181  0.101
Sm  0.819  0.819  0.899
Sm  0.991  0.991  0.670
Ag  0.285  0.285  0.655
Ag  0.715  0.715  0.345
Sn  0.356  0.356  0.427
Sn  0.466  0.466  0.115
Sn  0.534  0.534  0.885
Sn  0.644  0.644  0.573

## Properties
As for the symmetry: C2/m (12). The value obtained for the formation energy is -0.631 eV per atom.



[3]
CsRb2IrCl6: optimized geometry, PBE-GGA.

a b c (Å): 7.873 7.873 7.873
angles (deg): 60.00 60.00 60.00
Fractional coordinates of all 10 atoms:
Cs  0.000  0.000  0.000
Rb  0.250  0.250  0.250
Rb  0.750  0.750  0.750
Ir  0.500  0.500  0.500
Cl  0.288  0.288  0.712
Cl  0.288  0.712  0.288
Cl  0.288  0.712  0.712
Cl  0.712  0.288  0.288
Cl  0.712  0.288  0.712
Cl  0.712  0.712  0.288

## Properties
As for the symmetry: Fm-3m (225). The energy above the lowest structure with this stoichiometry is 0.0321 eV per atom.



[4]
NaTl2O: optimized geometry, PBE-GGA.

a b c (Å): 5.009 5.009 5.009
angles (deg): 60.00 60.00 60.00
Fractional coordinates of all 4 atoms:
Na  0.000  0.000  0.000
Tl  0.250  0.250  0.250
Tl  0.750  0.750  0.750
O  0.500  0.500  0.500

## Properties
As for the symmetry: Fm-3m (225). The energy above the lowest structure with this stoichiometry is 0.3606 eV per atom.



[5]
MgSc6Se8: optimized geometry, PBE-GGA.

a b c (Å): 7.719 7.719 7.719
angles (deg): 60.00 60.00 60.00
Fractional coordinates of all 15 atoms:
Mg  0.000  0.000  0.000
Sc  0.000  0.000  0.500
Sc  0.000  0.500  0.000
Sc  0.000  0.500  0.500
Sc  0.500  0.000  0.000
Sc  0.500  0.000  0.500
Sc  0.500  0.500  0.000
Se  0.250  0.250  0.250
Se  0.250  0.250  0.750
Se  0.250  0.750  0.250
Se  0.250  0.750  0.750
Se  0.750  0.250  0.250
Se  0.750  0.250  0.750
Se  0.750  0.750  0.250
Se  0.750  0.750  0.750

## Properties
As for the symmetry: Fm-3m (225). The calculated total energy is -91.59 eV for the cell shown.



[6]
LiFeGe: optimized geometry, PBE-GGA.

a b c (Å): 2.777 4.097 7.146
angles (deg): 90.00 101.12 90.00
Fractional coordinates of all 6 atoms:
Li  0.064  0.250  0.123
Li  0.936  0.750  0.877
Fe  0.275  0.750  0.549
Fe  0.725  0.250  0.451
Ge  0.365  0.250  0.734
Ge  0.635  0.750  0.266

## Properties
As for the symmetry: P2_1/m (11). The value obtained for the formation energy is -0.122 eV per atom.



[7]
DyHoEr2As4: optimized geometry, PBE-GGA.

a b c (Å): 7.092 4.097 7.093
angles (deg): 90.00 109.47 90.00
Fractional coordinates of all 8 atoms:
Dy  0.000  0.000  0.000
Ho  0.000  0.500  0.500
Er  0.500  0.000  0.500
Er  0.500  0.500  0.000
As  0.252  0.000  0.750
As  0.252  0.500  0.251
As  0.748  0.000  0.250
As  0.748  0.500  0.749

## Properties
As for the symmetry: P2/m (10). The value obtained for the formation energy is -1.527 eV per atom.



[8]
Re3PtBr: optimized geometry, PBE-GGA.

a b c (Å): 4.498 4.498 4.498
angles (deg): 90.00 90.00 90.00
Fractional coordinates of all 5 atoms:
Re  0.000  0.000  0.500
Re  0.000  0.500  0.000
Re  0.500  0.000  0.000
Pt  0.500  0.500  0.500
Br  0.000  0.000  0.000

## Properties
As for the symmetry: Pm-3m (221). The energy above the lowest structure with this stoichiometry is 0.0000 eV per atom.



[9]
Y3Ho4Sn4: optimized geometry, PBE-GGA.

a b c (Å): 10.033 10.033 10.033
angles (deg): 156.77 124.99 60.50
Fractional coordinates of all 11 atoms:
Y  0.000  0.000  0.000
Y  0.397  0.897  0.500
Y  0.603  0.103  0.500
Ho  0.021  0.330  0.691
Ho  0.361  0.670  0.691
Ho  0.639  0.330  0.309
Ho  0.979  0.670  0.309
Sn  0.259  0.259  0.000
Sn  0.286  0.500  0.786
Sn  0.714  0.500  0.214
Sn  0.741  0.741  0.000

## Properties
As for the symmetry: Immm (71). The value obtained for the formation energy is -0.520 eV per atom.



[10]
Cs2Hg5Pd2: optimized geometry, PBE-GGA.

a b c (Å): 5.397 5.397 11.320
angles (deg): 90.00 90.00 90.00
Fractional coordinates of all 9 atoms:
Cs  0.000  0.000  0.000
Cs  0.000  0.000  0.500
Hg  0.000  0.500  0.247
Hg  0.000  0.500  0.753
Hg  0.500  0.000  0.247
Hg  0.500  0.000  0.753
Hg  0.500  0.500  0.500
Pd  0.500  0.500  0.259
Pd  0.500  0.500  0.741

## Properties
As for the symmetry: P4/mmm (123). The energy above the lowest structure with this stoichiometry is 0.0000 eV per atom. The value obtained for the formation energy is -0.212 eV per atom.



[11]
Li2CrCo: optimized geometry, PBE-GGA.

a b c (Å): 4.960 4.960 4.960
angles (deg): 147.21 126.29 64.37
Fractional coordinates of all 4 atoms:
Li  0.000  0.000  0.000
Li  0.745  0.245  0.500
Cr  0.276  0.776  0.500
Co  0.496  0.496  0.000

## Properties
As for the symmetry: Imm2 (44). The energy above the lowest structure with this stoichiometry is 0.2190 eV per atom. The value obtained for the formation energy is 0.478 eV per atom.



[12]
Zr4MnSb: optimized geometry, PBE-GGA.

a b c (Å): 5.754 5.754 5.754
angles (deg): 60.00 60.00 60.00
Fractional coordinates of all 6 atoms:
Zr  0.124  0.124  0.124
Zr  0.124  0.124  0.628
Zr  0.124  0.628  0.124
Zr  0.628  0.124  0.124
Mn  0.750  0.750  0.750
Sb  0.500  0.500  0.500

## Properties
As for the symmetry: F-43m (216). The calculated total energy is -45.39 eV for the cell shown.



[13]
LaDyZnIn: optimized geometry, PBE-GGA.

a b c (Å): 3.721 3.721 7.695
angles (deg): 90.00 90.00 90.00
Fractional coordinates of all 4 atoms:
La  0.000  0.000  0.000
Dy  0.000  0.000  0.461
Zn  0.500  0.500  0.260
In  0.500  0.500  0.712

## Properties
As for the symmetry: P4mm (99). The energy above the lowest structure with this stoichiometry is 0.0000 eV per atom. The value obtained for the formation energy is -0.414 eV per atom.



[14]
BiB2H: optimized geometry, PBE-GGA.

a b c (Å): 7.050 7.050 7.050
angles (deg): 149.28 149.28 44.01
Fractional coordinates of all 8 atoms:
Bi  0.000  0.000  0.000
Bi  0.750  0.250  0.500
B  0.302  0.125  0.677
B  0.375  0.698  0.823
B  0.448  0.625  0.323
B  0.875  0.552  0.177
H  0.250  0.750  0.500
H  0.500  0.500  0.000

## Properties
As for the symmetry: I-42d (122). The energy above the lowest structure with this stoichiometry is 0.0000 eV per atom.



[15]
LiLuMg2: optimized geometry, PBE-GGA.

a b c (Å): 5.384 5.384 3.411
angles (deg): 90.00 90.00 90.00
Fractional coordinates of all 4 atoms:
Li  0.000  0.000  0.000
Lu  0.500  0.500  0.000
Mg  0.000  0.500  0.500
Mg  0.500  0.000  0.500

## Properties
As for the symmetry: P4/mmm (123). The energy above the lowest structure with this stoichiometry is 0.0717 eV per atom. The value obtained for the formation energy is 0.032 eV per atom.



[16]
V3Ir2Pt: optimized geometry, PBE-GGA.

a b c (Å): 2.734 2.734 11.290
angles (deg): 90.00 90.00 90.00
Fractional coordinates of all 6 atoms:
V  0.000  0.000  0.000
V  0.000  0.000  0.327
V  0.000  0.000  0.673
Ir  0.500  0.500  0.166
Ir  0.500  0.500  0.834
Pt  0.500  0.500  0.500

## Properties
As for the symmetry: P4/mmm (123). The energy above the lowest structure with this stoichiometry is 0.0057 eV per atom. The value obtained for the formation energy is -0.531 eV per atom.



[17]
Zn2RePb: optimized geometry, PBE-GGA.

a b c (Å): 3.474 3.474 5.861
angles (deg): 90.00 90.00 90.00
Fractional coordinates of all 4 atoms:
Zn  0.000  0.000  0.000
Zn  0.500  0.500  0.225
Re  0.500  0.500  0.785
Pb  0.000  0.000  0.517

## Properties
As for the symmetry: P4mm (99). The value obtained for the formation energy is 0.529 eV per atom.



[18]
MoRuPt2Rh2: optimized geometry, PBE-GGA.

a b c (Å): 4.965 5.163 7.271
angles (deg): 90.00 93.84 90.00
Fractional coordinates of all 12 atoms:
Mo  0.131  0.250  0.233
Mo  0.869  0.750  0.767
Ru  0.114  0.750  0.075
Ru  0.886  0.250  0.925
Pt  0.395  0.001  0.819
Pt  0.395  0.499  0.819
Pt  0.605  0.501  0.181
Pt  0.605  0.999  0.181
Rh  0.043  0.250  0.581
Rh  0.455  0.750  0.493
Rh  0.545  0.250  0.507
Rh  0.957  0.750  0.419

## Properties
As for the symmetry: P2_1/m (11). The value obtained for the formation energy is 0.134 eV per atom.



[19]
NpCd2Pt9: optimized geometry, PBE-GGA.

a b c (Å): 9.297 9.297 9.297
angles (deg): 33.56 33.56 33.56
Fractional coordinates of all 12 atoms:
Np  0.000  0.000  0.000
Cd  0.144  0.144  0.144
Cd  0.856  0.856  0.856
Pt  0.081  0.587  0.587
Pt  0.334  0.334  0.334
Pt  0.413  0.413  0.919
Pt  0.413  0.919  0.413
Pt  0.500  0.500  0.500
Pt  0.587  0.081  0.587
Pt  0.587  0.587  0.081
Pt  0.666  0.666  0.666
Pt  0.919  0.413  0.413

## Properties
As for the symmetry: R-3m (166). The value obtained for the formation energy is -0.316 eV per atom.



[20]
Be3BAu: optimized geometry, PBE-GGA.

a b c (Å): 3.760 3.760 3.760
angles (deg): 90.00 90.00 90.00
Fractional coordinates of all 5 atoms:
Be  0.000  0.000  0.500
Be  0.000  0.500  0.000
Be  0.500  0.000  0.000
B  0.000  0.000  0.000
Au  0.500  0.500  0.500

## Properties
As for the symmetry: Pm-3m (221). The energy above the lowest structure with this stoichiometry is 0.0000 eV per atom. The value obtained for the formation energy is 0.197 eV per atom.